(1)
The following is a DFT calculation (GGA-PBEsol) of a relaxed Sc2C crystal.

Properties
The value obtained for the density is 3.9 g cm⁻³. For the formation energy, the calculation gives -0.27 eV per atom. Its space group is No. 225.

Cell lengths 3.9495, 3.9495, 3.9495 Å; angles 60.00, 60.00, 60.00 degrees
Last column: nearest neighbours and their distance in Å.
Fractional positions:
Sc (0.7500, 0.7500, 0.7500)  4 C 2.42
Sc (0.2500, 0.2500, 0.2500)  4 C 2.42
C (0.0000, 0.0000, 0.0000)  8 Sc 2.42

(2)
The following is a DFT calculation (GGA-PBEsol) of a relaxed Sc2C crystal.

Properties
The value obtained for the density is 3.3 g cm⁻³. For the formation energy, the calculation gives -0.49 eV per atom. Its space group is No. 166.

Cell lengths 3.3008, 3.3008, 5.8182 Å; angles 73.52, 73.52, 60.00 degrees
Last column: nearest neighbours and their distance in Å.
Fractional positions:
Sc (0.2591, 0.2591, 0.2226)  3 C 2.26
Sc (0.7409, 0.7409, 0.7774)  3 C 2.26
C (0.0000, 0.0000, 0.0000)  6 Sc 2.26

(3)
The following is a DFT calculation (GGA-PBEsol) of a relaxed Sc2C crystal.

Properties
The value obtained for the density is 3.4 g cm⁻³. For the formation energy, the calculation gives -0.40 eV per atom. Its space group is No. 136.

Cell lengths 3.3142, 5.4905, 5.4905 Å; angles 90.00, 90.00, 90.00 degrees
Last column: nearest neighbours and their distance in Å.
Fractional positions:
Sc (0.0000, 0.7984, 0.7984)  3 C 2.28-2.32
Sc (0.0000, 0.2016, 0.2016)  3 C 2.28-2.32
Sc (0.5000, 0.7016, 0.2984)  3 C 2.28-2.32
Sc (0.5000, 0.2984, 0.7016)  3 C 2.28-2.32
C (0.0000, 0.5000, 0.5000)  6 Sc 2.28-2.32
C (0.5000, 0.0000, 0.0000)  6 Sc 2.28-2.32

(4)
The following is a DFT calculation (GGA-PBEsol) of a relaxed Sc2C crystal.

Properties
The value obtained for the density is 3.2 g cm⁻³. For the formation energy, the calculation gives -0.44 eV per atom. Its space group is No. 194.

Cell lengths 3.2791, 3.2791, 11.3827 Å; angles 90.00, 90.00, 120.00 degrees
Last column: nearest neighbours and their distance in Å.
Fractional positions:
Sc (0.6667, 0.3333, 0.1074)  3 C 2.25
Sc (0.3333, 0.6667, 0.6074)  3 C 2.25
Sc (0.6667, 0.3333, 0.3926)  3 C 2.25
Sc (0.3333, 0.6667, 0.8926)  3 C 2.25
C (0.0000, 0.0000, 0.0000)  6 Sc 2.25
C (0.0000, 0.0000, 0.5000)  6 Sc 2.25